# 1
The following is a DFT calculation (GGA-PBE) of In2Ge2Au after structural relaxation.

For the energy, the calculation gives -3.5321 eV per atom. The value obtained for the energy relative to the lowest polymorph listed for this composition is 0.000 eV per atom. For the energy of formation from the pure elements, the calculation gives 0.3 eV/f.u. Its calculated density is 8.15 Mg/m³.

The space group is P4/mbm (No. 127) and the conventional cell measures 6.655, 6.655 and 5.265 Å, with angles of 90.00, 90.00 and 90.00 degrees. The inequivalent atoms are In at (0.176, 0.324, 0.000), Ge at (0.136, 0.636, 0.500) and Au at (0.000, 0.000, 0.500).



# 2
The following is a DFT calculation (GGA-PBE) of CsBaUN3 after structural relaxation.

For the energy, the calculation gives -7.3193 eV per atom. The calculation puts the uncorrected formation energy at -0.813 eV per atom. Its calculated density is 6.55 Mg/m³.

The space group is C2/c (No. 15) and the conventional cell measures 6.546, 13.556 and 6.313 Å, with angles of 90.00, 95.44 and 90.00 degrees. The inequivalent atoms are Cs at (0.000, 0.250, 0.250), Ba at (0.000, 0.088, 0.750), U at (0.000, 0.439, 0.750), N at (0.000, 0.294, 0.750) and N at (0.199, 0.482, 0.499).



# 3
The following is a DFT calculation (GGA-PBE) of NbIrOs2 after structural relaxation.

For the energy, the calculation gives -10.6062 eV per atom. The value obtained for the energy relative to the lowest polymorph listed for this composition is 0.000 eV per atom. For the energy of formation from the pure elements, the calculation gives -1.0 eV/f.u. Its calculated density is 18.24 Mg/m³.

The space group is P4/mmm (No. 123) and the conventional cell measures 3.915, 3.915 and 3.954 Å, with angles of 90.00, 90.00 and 90.00 degrees. The inequivalent atoms are Nb at (0.000, 0.000, 0.000), Ir at (0.500, 0.500, 0.000) and Os at (0.000, 0.500, 0.500).



# 4
The following is a DFT calculation (GGA-PBE) of ZrTa2Rh after structural relaxation.

For the energy, the calculation gives -10.0701 eV per atom. For the energy of formation from the pure elements, the calculation gives -0.7 eV/f.u. Its calculated density is 12.58 Mg/m³.

The space group is I4/mmm (No. 139) and the conventional cell measures 3.934, 3.934 and 9.483 Å, with angles of 90.00, 90.00 and 90.00 degrees. The inequivalent atoms are Zr at (0.000, 0.000, 0.000), Ta at (0.000, 0.500, 0.250) and Rh at (0.000, 0.000, 0.500).



# 5
The following is a DFT calculation (GGA-PBE) of Be2Nb2Co5Os after structural relaxation.

For the energy, the calculation gives -7.5771 eV per atom. For the energy of formation from the pure elements, the calculation gives -1.4 eV/f.u. Its calculated density is 9.81 Mg/m³.

The space group is P4/mbm (No. 127) and the conventional cell measures 8.267, 8.267 and 3.411 Å, with angles of 90.00, 90.00 and 90.00 degrees. The inequivalent atoms are Be at (0.110, 0.390, 0.000), Nb at (0.184, 0.684, 0.000), Co at (0.000, 0.500, 0.500), Co at (0.068, 0.213, 0.500) and Os at (0.000, 0.000, 0.000).



# 6
The following is a DFT calculation (GGA-PBE) of ErSF after structural relaxation.

For the energy, the calculation gives -6.0164 eV per atom. The calculation puts the uncorrected formation energy at -2.496 eV per atom. Its calculated density is 6.54 Mg/m³.

The space group is I4mm (No. 107) and the conventional cell measures 3.780, 3.780 and 7.767 Å, with angles of 90.00, 90.00 and 90.00 degrees. The inequivalent atoms are Er at (0.000, 0.000, 0.000), S at (0.000, 0.000, 0.391) and F at (0.000, 0.000, 0.732).



# 7
The following is a DFT calculation (GGA-PBE) of TbPrBeAl after structural relaxation.

For the energy, the calculation gives -4.2839 eV per atom. For the energy of formation from the pure elements, the calculation gives -0.3 eV/f.u. Its calculated density is 5.93 Mg/m³.

The space group is F-43m (No. 216) and the conventional cell measures 7.218, 7.218 and 7.218 Å, with angles of 90.00, 90.00 and 90.00 degrees. The inequivalent atoms are Tb at (0.000, 0.000, 0.000), Pr at (0.000, 0.000, 0.500), Be at (0.250, 0.250, 0.750) and Al at (0.250, 0.250, 0.250).



# 8
The following is a DFT calculation (GGA-PBE) of Tb4PrIn after structural relaxation.

For the energy, the calculation gives -4.4684 eV per atom. The value obtained for the energy relative to the lowest polymorph listed for this composition is 0.017 eV per atom. For the energy of formation from the pure elements, the calculation gives -0.8 eV/f.u. Its calculated density is 7.97 Mg/m³.

The space group is Pmmn (No. 59, origin choice 2) and the conventional cell measures 5.552, 6.898 and 9.706 Å, with angles of 90.00, 90.00 and 90.00 degrees. The inequivalent atoms are Tb at (0.250, 0.004, 0.241), Tb at (0.250, 0.250, 0.613), Tb at (0.250, 0.750, 0.919), Pr at (0.250, 0.750, 0.573) and In at (0.250, 0.250, 0.932).



# 9
The following is a DFT calculation (GGA-PBE) of InTeSI2 after structural relaxation.

For the energy, the calculation gives -2.4366 eV per atom. The value obtained for the energy relative to the lowest polymorph listed for this composition is 0.000 eV per atom. The calculation puts the uncorrected formation energy at 0.185 eV per atom. Its calculated density is 4.73 Mg/m³.

The space group is P4/mmm (No. 123) and the conventional cell measures 5.812, 5.812 and 5.492 Å, with angles of 90.00, 90.00 and 90.00 degrees. The inequivalent atoms are In at (0.000, 0.000, 0.000), Te at (0.500, 0.500, 0.000), S at (0.500, 0.500, 0.500) and I at (0.000, 0.500, 0.500).